Here is a relaxed structure of NpNbS4 from Alexandria. Energies are from PBE-GGA.

```
NpNbS4
1.0
-5.219 -4.806 -1.239
-0.857 -0.583 5.874
-1.874 7.170 0.439
Np Nb S
2 2 8
Cartesian
0.000 0.000 0.000
-3.038 -2.694 2.318
-3.547 1.182 -0.400
-1.366 3.293 3.156
-5.448 -3.180 3.270
-5.066 2.590 0.871
-1.777 1.545 1.293
-3.531 2.661 4.176
-2.502 4.962 1.803
-2.884 -0.809 4.203
-6.173 0.236 3.781
-4.419 -0.880 0.898
```

Computed properties:
Formation energy from raw total energies   -0.992 eV per atom
Size of the total moment   4.01 μB/f.u.
Space group   P2_1/c (14)